[1]
Below is TmInRh4 after structural relaxation, with properties calculated at the PBE level.

Cell and atoms, written as POSCAR:
```
TmInRh4
1.0
0.000 3.722 3.722
3.722 0.000 3.722
3.722 3.722 0.000
Tm In Rh
1 1 4
Direct
0.000 0.000 0.000 Tm
0.250 0.250 0.250 In
0.127 0.624 0.624 Rh
0.624 0.127 0.624 Rh
0.624 0.624 0.127 Rh
0.624 0.624 0.624 Rh
```

Values from the calculation:
E_tot in eV per atom: -6.5941
SG: F-43m, No. 216
Formation energy in eV/f.u.: -2.9


[2]
Below is TiAsBr2N after structural relaxation, with properties calculated at the PBE level.

Cell and atoms, written as POSCAR:
```
TiAsBr2N
1.0
4.433 0.000 0.000
0.000 4.433 0.000
0.000 0.000 4.694
Ti As Br N
1 1 2 1
Direct
0.000 0.000 0.000 Ti
0.500 0.500 0.000 As
0.000 0.500 0.500 Br
0.500 0.000 0.500 Br
0.500 0.500 0.500 N
```

Values from the calculation:
E_tot in eV per atom: -3.8907
SG: P4/mmm, No. 123
E_form (uncorrected) in eV/atom: 0.952


[3]
Below is PrYHo after structural relaxation, with properties calculated at the PBE level.

Cell and atoms, written as POSCAR:
```
PrYHo
1.0
6.347 0.000 0.000
3.166 5.501 0.000
3.167 1.824 5.756
Pr Y Ho
2 2 2
Direct
0.084 0.252 0.251 Pr
0.916 0.748 0.749 Pr
0.253 0.080 0.752 Y
0.747 0.920 0.248 Y
0.418 0.580 0.251 Ho
0.582 0.420 0.749 Ho
```

Values from the calculation:
E_tot in eV per atom: -5.2591
SG: P-1, No. 2
Formation energy in eV/f.u.: 0.0


[4]
Below is Hg3OsO after structural relaxation, with properties calculated at the PBE level.

Cell and atoms, written as POSCAR:
```
Hg3OsO
1.0
4.592 0.000 0.000
0.000 4.592 0.000
0.000 0.000 4.592
Hg Os O
3 1 1
Direct
0.000 0.000 0.500 Hg
0.000 0.500 0.000 Hg
0.500 0.000 0.000 Hg
0.500 0.500 0.500 Os
0.000 0.000 0.000 O
```

Values from the calculation:
E_tot in eV per atom: -2.3135
SG: Pm-3m, No. 221
E_form (uncorrected) in eV/atom: 1.105


[5]
Below is TaAlTe4 after structural relaxation, with properties calculated at the PBE level.

Cell and atoms, written as POSCAR:
```
TaAlTe4
1.0
-3.144 3.144 5.697
3.144 -3.144 5.697
3.144 3.144 -5.697
Ta Al Te
1 1 4
Direct
0.000 0.000 0.000 Ta
0.250 0.750 0.500 Al
0.125 0.624 0.996 Te
0.376 0.372 0.501 Te
0.628 0.129 0.004 Te
0.871 0.875 0.499 Te
```

Values from the calculation:
E_tot in eV per atom: -4.8533
SG: I-4, No. 82
E_form (uncorrected) in eV/atom: -0.160


[6]
Below is Ac2MgAgTe5 after structural relaxation, with properties calculated at the PBE level.

Cell and atoms, written as POSCAR:
```
Ac2MgAgTe5
1.0
2.286 -9.864 0.000
2.286 9.864 0.000
0.000 0.000 12.767
Ac Mg Ag Te
4 2 2 10
Direct
0.114 0.886 0.500 Ac
0.122 0.878 0.882 Ac
0.878 0.122 0.382 Ac
0.886 0.114 0.000 Ac
0.203 0.797 0.194 Mg
0.797 0.203 0.694 Mg
0.407 0.593 0.672 Ag
0.593 0.407 0.172 Ag
0.032 0.968 0.258 Te
0.293 0.707 0.531 Te
0.300 0.700 0.849 Te
0.349 0.651 0.191 Te
0.488 0.512 0.482 Te
0.512 0.488 0.982 Te
0.651 0.349 0.691 Te
0.700 0.300 0.349 Te
0.707 0.293 0.031 Te
0.968 0.032 0.758 Te
```

Values from the calculation:
E_tot in eV per atom: -4.2147
SG: Cmc2_1, No. 36
E_form (uncorrected) in eV/atom: -1.062


[7]
Below is Te2RuPb after structural relaxation, with properties calculated at the PBE level.

Cell and atoms, written as POSCAR:
```
Te2RuPb
1.0
2.729 -4.859 0.000
2.729 4.859 0.000
0.000 0.000 4.035
Te Ru Pb
2 1 1
Direct
0.178 0.822 0.000 Te
0.822 0.178 0.000 Te
0.000 0.000 0.500 Ru
0.500 0.500 0.500 Pb
```

Values from the calculation:
E_tot in eV per atom: -4.8605
SG: Cmmm, No. 65
E_form (uncorrected) in eV/atom: -0.044


[8]
Below is CaAc2La3 after structural relaxation, with properties calculated at the PBE level.

Cell and atoms, written as POSCAR:
```
CaAc2La3
1.0
9.154 -3.058 0.000
9.154 3.058 0.000
-6.153 0.000 8.680
Ca Ac La
2 4 6
Direct
0.116 0.116 0.155 Ca
0.884 0.884 0.845 Ca
0.266 0.266 0.626 Ac
0.454 0.454 0.124 Ac
0.546 0.546 0.876 Ac
0.734 0.734 0.374 Ac
0.009 0.009 0.367 La
0.203 0.203 0.920 La
0.378 0.378 0.379 La
0.622 0.622 0.621 La
0.797 0.797 0.080 La
0.991 0.991 0.633 La
```

Values from the calculation:
E_tot in eV per atom: -4.0956
SG: C2/m, No. 12
Formation energy in eV/f.u.: 0.4


[9]
Below is La2HoAgS5 after structural relaxation, with properties calculated at the PBE level.

Cell and atoms, written as POSCAR:
```
La2HoAgS5
1.0
2.021 -8.399 0.000
2.021 8.399 0.000
0.000 0.000 12.182
La Ho Ag S
4 2 2 10
Direct
0.111 0.889 0.500 La
0.126 0.874 0.121 La
0.874 0.126 0.621 La
0.889 0.111 0.000 La
0.196 0.804 0.822 Ho
0.804 0.196 0.322 Ho
0.462 0.538 0.281 Ag
0.538 0.462 0.781 Ag
0.048 0.952 0.895 S
0.288 0.712 0.477 S
0.306 0.694 0.166 S
0.357 0.643 0.816 S
0.498 0.502 0.588 S
0.502 0.498 0.088 S
0.643 0.357 0.316 S
0.694 0.306 0.666 S
0.712 0.288 0.977 S
0.952 0.048 0.395 S
```

Values from the calculation:
E_tot in eV per atom: -5.9993
SG: Cmc2_1, No. 36
E_form (uncorrected) in eV/atom: -1.786


[10]
Below is NaInBr after structural relaxation, with properties calculated at the PBE level.

Cell and atoms, written as POSCAR:
```
NaInBr
1.0
13.873 0.000 0.000
0.000 1.969 3.413
0.000 -1.969 3.413
Na In Br
2 2 2
Direct
0.196 0.000 0.000 Na
0.804 0.000 0.000 Na
0.000 0.332 0.332 In
0.500 0.002 0.002 In
0.325 0.333 0.333 Br
0.675 0.333 0.333 Br
```

Values from the calculation:
E_tot in eV per atom: -2.5451
SG: Amm2, No. 38
E_form (uncorrected) in eV/atom: -0.635


[11]
Below is Ba4U3AgO12 after structural relaxation, with properties calculated at the PBE level.

Cell and atoms, written as POSCAR:
```
Ba4U3AgO12
1.0
-4.438 4.438 4.438
4.438 -4.438 4.438
4.438 4.438 -4.438
Ba U Ag O
4 3 1 12
Direct
0.000 0.000 0.500 Ba
0.000 0.500 0.000 Ba
0.500 0.000 0.000 Ba
0.500 0.500 0.500 Ba
0.000 0.500 0.500 U
0.500 0.000 0.500 U
0.500 0.500 0.000 U
0.000 0.000 0.000 Ag
0.000 0.273 0.273 O
0.000 0.727 0.727 O
0.250 0.500 0.750 O
0.250 0.750 0.500 O
0.273 0.000 0.273 O
0.273 0.273 0.000 O
0.500 0.250 0.750 O
0.500 0.750 0.250 O
0.727 0.000 0.727 O
0.727 0.727 0.000 O
0.750 0.250 0.500 O
0.750 0.500 0.250 O
```

Values from the calculation:
E_tot in eV per atom: -8.0852
SG: Im-3m, No. 229
E_form (uncorrected) in eV/atom: -2.890